w) Material: GaTeSI2
Method: DFT, PBE
State: relaxed

```
data_GaTeSI2
_cell_length_a 5.607
_cell_length_b 5.607
_cell_length_c 5.479
_cell_angle_alpha 90.00
_cell_angle_beta 90.00
_cell_angle_gamma 90.00
_symmetry_space_group_name_H-M 'P 1'
_symmetry_Int_Tables_number 1
loop_
_symmetry_equiv_pos_as_xyz
'x,y,z'
loop_
_atom_site_label
_atom_site_type_symbol
_atom_site_fract_x
_atom_site_fract_y
_atom_site_fract_z
Ga1 Ga 0.000 0.000 0.000
Te1 Te 0.000 0.000 0.500
S1 S 0.500 0.500 0.500
I1 I 0.000 0.500 0.000
I2 I 0.500 0.000 0.000
```

Summary:
D(E_F)	5.6	states/eV/cell
space group	P4/mmm
total magnetic moment	2.06	μB per cell

---

x) Material: GaTeSI2
Method: DFT, PBE
State: relaxed

```
data_GaTeSI2
_cell_length_a 5.624
_cell_length_b 5.624
_cell_length_c 5.388
_cell_angle_alpha 90.00
_cell_angle_beta 90.00
_cell_angle_gamma 90.00
_symmetry_space_group_name_H-M 'P 1'
_symmetry_Int_Tables_number 1
loop_
_symmetry_equiv_pos_as_xyz
'x,y,z'
loop_
_atom_site_label
_atom_site_type_symbol
_atom_site_fract_x
_atom_site_fract_y
_atom_site_fract_z
Ga1 Ga 0.000 0.000 0.000
Te1 Te 0.500 0.500 0.000
S1 S 0.500 0.500 0.500
I1 I 0.000 0.500 0.500
I2 I 0.500 0.000 0.500
```

Summary:
D(E_F)	6.3	states/eV/cell
space group	P4/mmm
total magnetic moment	0.00	μB per cell

---

Which of them is most stable, and which least? Most stable: x); least stable: w).

---

w) Material: GaTe2SI
Method: DFT, PBE
State: relaxed

```
data_GaTe2SI
_cell_length_a 5.452
_cell_length_b 5.452
_cell_length_c 5.294
_cell_angle_alpha 90.00
_cell_angle_beta 90.00
_cell_angle_gamma 90.00
_symmetry_space_group_name_H-M 'P 1'
_symmetry_Int_Tables_number 1
loop_
_symmetry_equiv_pos_as_xyz
'x,y,z'
loop_
_atom_site_label
_atom_site_type_symbol
_atom_site_fract_x
_atom_site_fract_y
_atom_site_fract_z
Ga1 Ga 0.000 0.000 0.000
Te1 Te 0.000 0.500 0.000
Te2 Te 0.500 0.000 0.000
S1 S 0.500 0.500 0.500
I1 I 0.000 0.000 0.500
```

Summary:
D(E_F)	4.7	states/eV/cell
space group	P4/mmm
total magnetic moment	0.00	μB per cell

---

x) Material: GaTe2SI
Method: DFT, PBE
State: relaxed

```
data_GaTe2SI
_cell_length_a 5.336
_cell_length_b 5.336
_cell_length_c 5.674
_cell_angle_alpha 90.00
_cell_angle_beta 90.00
_cell_angle_gamma 90.00
_symmetry_space_group_name_H-M 'P 1'
_symmetry_Int_Tables_number 1
loop_
_symmetry_equiv_pos_as_xyz
'x,y,z'
loop_
_atom_site_label
_atom_site_type_symbol
_atom_site_fract_x
_atom_site_fract_y
_atom_site_fract_z
Ga1 Ga 0.000 0.000 0.000
Te1 Te 0.000 0.500 0.500
Te2 Te 0.500 0.000 0.500
S1 S 0.500 0.500 0.500
I1 I 0.500 0.500 0.000
```

Summary:
D(E_F)	7.2	states/eV/cell
space group	P4/mmm
total magnetic moment	0.00	μB per cell

---

Which of them is most stable, and which least? Most stable: x); least stable: w).